{"formula": "PbS2ICl", "functional": "PBE", "state": "relaxed", "formation_energy_uncorrected_mev_per_atom": 343.5, "de_polymorph_ev_per_atom": 0.000, "crystal_system": "tetragonal", "sg": "P4/mmm", "lattice_angstrom": [[5.373, 0.000, 0.000], [0.000, 5.373, 0.000], [0.000, 0.000, 5.431]], "species": ["Pb", "S", "S", "I", "Cl"], "frac_coords": [[0.000, 0.000, 0.000], [0.000, 0.500, 0.500], [0.500, 0.000, 0.500], [0.500, 0.500, 0.500], [0.500, 0.500, 0.000]]}



{"formula": "NbCdNiRh2", "functional": "PBE", "state": "relaxed", "final_energy_ev_per_atom": -4.95, "crystal_system": "tetragonal", "sg": "P4/mmm", "lattice_angstrom": [[4.645, 0.000, 0.000], [0.000, 4.645, 0.000], [0.000, 0.000, 5.335]], "species": ["Nb", "Cd", "Ni", "Rh", "Rh"], "frac_coords": [[0.000, 0.000, 0.000], [0.000, 0.000, 0.500], [0.500, 0.500, 0.500], [0.000, 0.500, 0.000], [0.500, 0.000, 0.000]]}



{"formula": "Pr2Nd5SmY", "functional": "PBE", "state": "relaxed", "final_energy_ev_per_atom": -4.69, "crystal_system": "tetragonal", "sg": "I4/mcm", "lattice_angstrom": [[-4.406, 4.406, 8.224], [4.406, -4.406, 8.224], [4.406, 4.406, -8.224]], "species": ["Pr", "Pr", "Pr", "Pr", "Nd", "Nd", "Nd", "Nd", "Nd", "Nd", "Nd", "Nd", "Nd", "Nd", "Sm", "Sm", "Y", "Y"], "frac_coords": [[0.120, 0.620, 0.739], [0.380, 0.120, 0.500], [0.620, 0.880, 0.500], [0.880, 0.380, 0.261], [0.000, 0.000, 0.000], [0.073, 0.143, 0.500], [0.143, 0.643, 0.070], [0.357, 0.427, 0.500], [0.427, 0.927, 0.070], [0.500, 0.500, 0.000], [0.573, 0.073, 0.930], [0.643, 0.573, 0.500], [0.857, 0.357, 0.930], [0.927, 0.857, 0.500], [0.250, 0.250, 0.000], [0.750, 0.750, 0.000], [0.250, 0.750, 0.500], [0.750, 0.250, 0.500]]}



{"formula": "Ti3Co2Au3", "functional": "PBE", "state": "relaxed", "final_energy_ev_per_atom": -6.38, "crystal_system": "hexagonal", "sg": "P-62m", "lattice_angstrom": [[6.874, 0.000, 0.000], [-3.437, 5.953, 0.000], [0.000, 0.000, 2.988]], "species": ["Ti", "Ti", "Ti", "Co", "Co", "Au", "Au", "Au"], "frac_coords": [[0.000, 0.579, 0.000], [0.421, 0.421, 0.000], [0.579, 0.000, 0.000], [0.333, 0.667, 0.500], [0.667, 0.333, 0.500], [0.000, 0.237, 0.500], [0.237, 0.000, 0.500], [0.763, 0.763, 0.500]]}



{"formula": "Pm6Dy5Mg2", "functional": "PBE", "state": "relaxed", "final_energy_ev_per_atom": -4.08, "crystal_system": "orthorhombic", "sg": "Pbam", "lattice_angstrom": [[10.493, 0.000, 0.000], [0.000, 22.831, 0.000], [0.000, 0.000, 3.542]], "species": ["Pm", "Pm", "Pm", "Pm", "Pm", "Pm", "Pm", "Pm", "Pm", "Pm", "Pm", "Pm", "Dy", "Dy", "Dy", "Dy", "Dy", "Dy", "Dy", "Dy", "Dy", "Dy", "Mg", "Mg", "Mg", "Mg"], "frac_coords": [[0.018, 0.113, 0.000], [0.146, 0.383, 0.000], [0.169, 0.634, 0.500], [0.331, 0.134, 0.500], [0.354, 0.883, 0.000], [0.482, 0.613, 0.000], [0.518, 0.387, 0.000], [0.646, 0.117, 0.000], [0.669, 0.866, 0.500], [0.831, 0.366, 0.500], [0.854, 0.617, 0.000], [0.982, 0.887, 0.000], [0.000, 0.500, 0.500], [0.081, 0.249, 0.500], [0.166, 0.994, 0.500], [0.334, 0.494, 0.500], [0.419, 0.749, 0.500], [0.500, 0.000, 0.500], [0.581, 0.251, 0.500], [0.666, 0.506, 0.500], [0.834, 0.006, 0.500], [0.919, 0.751, 0.500], [0.169, 0.761, 0.000], [0.331, 0.261, 0.000], [0.669, 0.739, 0.000], [0.831, 0.239, 0.000]]}



{"formula": "ZnCd2Hg2", "functional": "PBE", "state": "relaxed", "de_polymorph_ev_per_atom": 0.000, "crystal_system": "orthorhombic", "sg": "Ibam", "lattice_angstrom": [[-3.575, 6.353, 2.547], [3.575, -6.353, 2.547], [3.575, 6.353, -2.547]], "species": ["Zn", "Zn", "Cd", "Cd", "Cd", "Cd", "Hg", "Hg", "Hg", "Hg"], "frac_coords": [[0.250, 0.250, 0.000], [0.750, 0.750, 0.000], [0.077, 0.654, 0.731], [0.423, 0.154, 0.578], [0.577, 0.846, 0.422], [0.923, 0.346, 0.269], [0.193, 0.150, 0.343], [0.307, 0.650, 0.956], [0.693, 0.350, 0.044], [0.807, 0.850, 0.657]]}



{"formula": "RbNa", "functional": "PBE", "state": "relaxed", "final_energy_ev_per_atom": -1.01, "crystal_system": "hexagonal", "sg": "P6_3mc", "lattice_angstrom": [[4.454, 0.000, 0.000], [-2.227, 3.858, 0.000], [0.000, 0.000, 14.932]], "species": ["Rb", "Rb", "Na", "Na"], "frac_coords": [[0.333, 0.667, 0.000], [0.667, 0.333, 0.500], [0.333, 0.667, 0.734], [0.667, 0.333, 0.234]]}



{"formula": "V2Ni3Pt3", "functional": "PBE", "state": "relaxed", "de_polymorph_ev_per_atom": 0.000, "crystal_system": "trigonal", "sg": "R32", "lattice_angstrom": [[3.341, 1.929, 2.796], [-3.341, 1.929, 2.796], [0.000, -3.858, 2.796]], "species": ["V", "V", "Ni", "Ni", "Ni", "Pt", "Pt", "Pt"], "frac_coords": [[0.247, 0.247, 0.247], [0.753, 0.753, 0.753], [0.000, 0.232, 0.768], [0.232, 0.768, 0.000], [0.768, 0.000, 0.232], [0.247, 0.753, 0.500], [0.500, 0.247, 0.753], [0.753, 0.500, 0.247]]}



{"formula": "La4TbDy7", "functional": "PBE", "state": "relaxed", "de_polymorph_ev_per_atom": 0.000, "crystal_system": "trigonal", "sg": "P-3m1", "lattice_angstrom": [[3.616, 0.000, 0.000], [-1.808, 3.131, 0.000], [0.000, 0.000, 35.244]], "species": ["La", "La", "La", "La", "Tb", "Dy", "Dy", "Dy", "Dy", "Dy", "Dy", "Dy"], "frac_coords": [[0.333, 0.667, 0.166], [0.333, 0.667, 0.416], [0.667, 0.333, 0.584], [0.667, 0.333, 0.834], [0.000, 0.000, 0.000], [0.000, 0.000, 0.250], [0.000, 0.000, 0.500], [0.000, 0.000, 0.750], [0.333, 0.667, 0.669], [0.333, 0.667, 0.919], [0.667, 0.333, 0.081], [0.667, 0.333, 0.331]]}



{"formula": "B5C7", "functional": "PBE", "state": "relaxed", "de_polymorph_ev_per_atom": 0.110, "crystal_system": "monoclinic", "sg": "Pm", "lattice_angstrom": [[3.991, 0.000, 0.000], [0.000, 2.607, 0.000], [-0.071, 0.000, 7.717]], "species": ["B", "B", "B", "B", "B", "C", "C", "C", "C", "C", "C", "C"], "frac_coords": [[0.000, 0.000, 0.000], [0.024, 0.000, 0.288], [0.211, 0.500, 0.665], [0.653, 0.000, 0.523], [0.684, 0.000, 0.155], [0.232, 0.500, 0.325], [0.244, 0.500, 0.990], [0.438, 0.500, 0.489], [0.447, 0.500, 0.158], [0.469, 0.500, 0.835], [0.688, 0.000, 0.828], [0.933, 0.000, 0.673]]}



{"formula": "La4PmS7", "functional": "PBE", "state": "relaxed", "formation_energy_uncorrected_mev_per_atom": -2158.1, "crystal_system": "monoclinic", "sg": "Cm", "lattice_angstrom": [[6.820, -2.016, 0.000], [6.820, 2.016, 0.000], [-3.195, 0.000, 11.578]], "species": ["La", "La", "La", "La", "Pm", "S", "S", "S", "S", "S", "S", "S"], "frac_coords": [[0.000, 0.000, 0.000], [0.191, 0.191, 0.767], [0.587, 0.587, 0.384], [0.889, 0.889, 0.574], [0.776, 0.776, 0.154], [0.154, 0.154, 0.224], [0.229, 0.229, 0.525], [0.385, 0.385, 0.077], [0.548, 0.548, 0.626], [0.629, 0.629, 0.931], [0.845, 0.845, 0.791], [0.932, 0.932, 0.357]]}



{"formula": "Sc2AgIr", "functional": "PBE", "state": "relaxed", "de_polymorph_ev_per_atom": 0.038, "crystal_system": "tetragonal", "sg": "P4/mmm", "lattice_angstrom": [[4.752, 0.000, 0.000], [0.000, 4.752, 0.000], [0.000, 0.000, 3.229]], "species": ["Sc", "Sc", "Ag", "Ir"], "frac_coords": [[0.000, 0.500, 0.000], [0.500, 0.000, 0.000], [0.000, 0.000, 0.500], [0.500, 0.500, 0.500]]}



no.,density of states at the Fermi level (states/eV per cell)
1,1.94
2,5.31
3,28.92
4,6.27
5,42.39
6,3.12
7,3.43
8,9.00
9,16.83
10,1.24
11,1.73
12,2.37